# Ca4Mn2Al2O11 (PBE+U, optimized geometry)
data_Ca4Mn2Al2O11
_space_group_name_H-M_alt 'P 1'
_space_group_IT_number 1
_cell_length_a 5.284
_cell_length_b 5.284
_cell_length_c 7.702
_cell_angle_alpha 90.00
_cell_angle_beta 90.00
_cell_angle_gamma 90.00
loop_
_space_group_symop_operation_xyz
'x,y,z'
loop_
_atom_site_label
_atom_site_fract_x
_atom_site_fract_y
_atom_site_fract_z
Ca1 0.500 0.000 0.750
Ca2 0.500 0.000 0.250
Ca3 0.000 0.500 0.750
Ca4 0.000 0.500 0.250
Mn1 0.500 0.500 0.991
Mn2 0.500 0.500 0.509
Al1 0.000 0.000 0.023
Al2 0.000 0.000 0.477
O1 0.000 0.000 0.250
O2 0.500 0.500 0.750
O3 0.500 0.500 0.250
O4 0.758 0.758 0.980
O5 0.758 0.758 0.520
O6 0.242 0.242 0.980
O7 0.242 0.242 0.520
O8 0.758 0.242 0.980
O9 0.758 0.242 0.520
O10 0.242 0.758 0.980
O11 0.242 0.758 0.520
# Size of the total moment   6.48 μB/cell
# Space group   No. 123
# ΔE to the lowest computed polymorph   1.50 kcal/mol of atoms